Record 1
Y2HPbAu: relaxed, GGA-PBE.

Calculated values
For the theoretical density, the calculation gives 9.34 g/cm³. The value obtained for the total magnetization is 0.1429 μB per atom. For the calculated total energy, the calculation gives -5.1494 eV per atom.

abc: 4.9763 4.9763 4.1858
angles: 90.00 90.00 90.00
With the nearest neighbours (Å) after each atom.
Space group P4/mmm (No. 123)
Symmetry-distinct sites (fractional):
Y1 0.0000 0.5000 0.0000 (multiplicity 2)  2 H 2.49
H1 0.0000 0.0000 0.0000 (multiplicity 1)  2 Au 2.09
Pb1 0.5000 0.5000 0.5000 (multiplicity 1)  8 Y 3.25, 4 Au 3.52
Au1 0.0000 0.0000 0.5000 (multiplicity 1)  2 H 2.09

---

Record 2
Zr2HPbAu: relaxed, GGA-PBE.

Calculated values
For the theoretical density, the calculation gives 11.10 g/cm³. The value obtained for the total magnetization is 0.0000 μB per atom. For the calculated total energy, the calculation gives -5.7729 eV per atom.

abc: 4.4319 4.4319 4.4739
angles: 90.00 90.00 90.00
With the nearest neighbours (Å) after each atom.
Space group P4/mmm (No. 123)
Symmetry-distinct sites (fractional):
Zr1 0.0000 0.5000 0.0000 (multiplicity 2)  2 H 2.22
H1 0.0000 0.0000 0.0000 (multiplicity 1)  4 Zr 2.22, 2 Au 2.24
Pb1 0.5000 0.5000 0.5000 (multiplicity 1)  4 Au 3.13, 8 Zr 3.15
Au1 0.0000 0.0000 0.5000 (multiplicity 1)  2 H 2.24

---

Record 3
HPd2Au: relaxed, GGA-PBE.

Calculated values
For the theoretical density, the calculation gives 11.74 g/cm³. The value obtained for the total magnetization is 0.0000 μB per atom. For the calculated total energy, the calculation gives -3.8068 eV per atom. For the offset from the most stable computed form, the calculation gives 527 meV/atom.

abc: 6.1476 6.1476 6.1476
angles: 90.00 90.00 90.00
With the nearest neighbours (Å) after each atom.
Space group Fm-3m (No. 225)
Symmetry-distinct sites (fractional):
H1 0.0000 0.0000 0.0000 (multiplicity 4)  8 Pd 2.66
Pd1 0.2500 0.2500 0.2500 (multiplicity 8)  4 H 2.66, 4 Au 2.66
Au1 0.0000 0.0000 0.5000 (multiplicity 4)  8 Pd 2.66

---

Record 4
HPd3Au: relaxed, GGA-PBE.

Calculated values
For the theoretical density, the calculation gives 12.47 g/cm³. The value obtained for the total magnetization is 0.0000 μB per atom. For the calculated total energy, the calculation gives -4.3924 eV per atom. For the offset from the most stable computed form, the calculation gives 137 meV/atom.

abc: 7.2440 7.2440 9.0912
angles: 90.00 90.00 120.00
With the nearest neighbours (Å) after each atom.
Space group R-3c (No. 167, hexagonal axes)
Symmetry-distinct sites (fractional):
H1 0.0000 0.0000 0.2500 (multiplicity 6)  3 Pd 1.82
Pd1 0.0000 0.2506 0.2500 (multiplicity 18)  1 H 1.82
Au1 0.0000 0.0000 0.0000 (multiplicity 6)  2 H 2.27

---

Record 5
HPd3Au: relaxed, GGA-PBE.

Calculated values
For the theoretical density, the calculation gives 12.02 g/cm³. The value obtained for the total magnetization is 0.0000 μB per atom. For the calculated total energy, the calculation gives -4.3446 eV per atom. For the offset from the most stable computed form, the calculation gives 184 meV/atom.

abc: 5.3322 5.3322 10.0544
angles: 90.00 90.00 90.00
With the nearest neighbours (Å) after each atom.
Space group I-4m2 (No. 119)
Symmetry-distinct sites (fractional):
H1 0.0000 0.0000 0.0000 (multiplicity 2)  4 Pd 1.84
H2 0.0000 0.5000 0.2500 (multiplicity 2)  4 Pd 1.82
Pd1 0.0000 0.0000 0.3688 (multiplicity 4)  3 Pd 2.64-2.77, 2 Au 2.67, 2 H 2.92
Pd2 0.0000 0.2489 0.1268 (multiplicity 8)  2 H 1.82-1.84
Au1 0.0000 0.5000 0.6154 (multiplicity 4)  8 Pd 2.67-2.98, 1 Au 2.71, 2 H 2.91

---

Record 6
HPd3Au: relaxed, GGA-PBE.

Calculated values
For the theoretical density, the calculation gives 12.75 g/cm³. The value obtained for the total magnetization is 0.0000 μB per atom. For the calculated total energy, the calculation gives -4.5176 eV per atom. For the offset from the most stable computed form, the calculation gives 11 meV/atom.

abc: 10.0119 5.7150 5.0325
angles: 90.00 110.59 90.00
With the nearest neighbours (Å) after each atom.
Space group Cm (No. 8)
Symmetry-distinct sites (fractional):
H1 0.0000 0.0000 0.0000 (multiplicity 2)  3 Pd 1.79-1.82
H2 0.2380 0.5000 0.1374 (multiplicity 2)  4 Pd 1.78-1.83
Pd1 0.1803 0.2444 0.2775 (multiplicity 4)  1 H 1.80
Pd2 0.1806 0.5000 0.7604 (multiplicity 2)  1 H 1.78
Pd3 0.4322 0.2468 0.7735 (multiplicity 4)  1 H 1.82
Pd4 0.4335 0.5000 0.2864 (multiplicity 2)  2 H 1.79-1.83
Au1 0.1841 0.0000 0.7727 (multiplicity 2)  1 H 2.49
Au2 0.4323 0.0000 0.2781 (multiplicity 2)  11 Pd 2.80-2.90, 1 Au 2.86